1.
Entry from the Alexandria database: Ho8ZnAs3Se4 after structural relaxation (PBE).

## Properties
The symmetry is No. 166. The calculation puts the total energy at -89.9 eV for the cell shown. The calculation puts the calculated volume at 385.7 Å³/cell.

Cell: 8.1889 8.1889 8.1889 Å, 59.70 59.70 59.70°
With the nearest neighbours (Å) after each atom.
Positions (direct):
Ho  0.2456  0.2456  0.2456  3 As 2.84, 3 Se 2.94
Ho  0.2481  0.7465  0.7465  1 Zn 2.85, 2 As 2.86, 3 Se 2.92-2.93
Ho  0.2535  0.2535  0.7519  1 Zn 2.85, 2 As 2.86, 3 Se 2.92-2.93
Ho  0.2535  0.7519  0.2535  1 Zn 2.85, 2 As 2.86, 3 Se 2.92-2.93
Ho  0.7465  0.2481  0.7465  1 Zn 2.85, 2 As 2.86, 3 Se 2.92-2.93
Ho  0.7465  0.7465  0.2481  1 Zn 2.85, 2 As 2.86, 3 Se 2.92-2.93
Ho  0.7519  0.2535  0.2535  1 Zn 2.85, 2 As 2.86, 3 Se 2.92-2.93
Ho  0.7544  0.7544  0.7544  3 As 2.84, 3 Se 2.94
Zn  0.5000  0.5000  0.5000  6 Ho 2.85
As  0.0000  0.0000  0.5000  6 Ho 2.84-2.86
As  0.0000  0.5000  0.0000  6 Ho 2.84-2.86
As  0.5000  0.0000  0.0000  6 Ho 2.84-2.86
Se  0.0000  0.0000  0.0000  6 Ho 2.93
Se  0.0000  0.5000  0.5000  6 Ho 2.92-2.94
Se  0.5000  0.0000  0.5000  6 Ho 2.92-2.94
Se  0.5000  0.5000  0.0000  6 Ho 2.92-2.94

---

2.
Entry from the Alexandria database: Ho2SiAs after structural relaxation (PBE).

## Properties
The symmetry is No. 63. The energy above the most stable polymorph in this dataset comes out at 0.000 eV/atom. The calculation puts the calculated volume at 184.2 Å³/cell.

Cell: 11.3508 11.3508 3.9314 Å, 90.00 90.00 158.67°
With the nearest neighbours (Å) after each atom.
Positions (direct):
Ho  0.0643  0.9357  0.7500  1 As 2.76, 6 Si 2.94-3.09
Ho  0.3160  0.6840  0.7500  5 As 2.85-2.88
Ho  0.6840  0.3160  0.2500  5 As 2.85-2.88
Ho  0.9357  0.0643  0.2500  1 As 2.76, 6 Si 2.94-3.09
Si  0.4628  0.5372  0.7500  2 Si 2.57
Si  0.5372  0.4628  0.2500  2 Si 2.57
As  0.1882  0.8118  0.7500  6 Ho 2.76-2.88
As  0.8118  0.1882  0.2500  6 Ho 2.76-2.88

---

3.
Entry from the Alexandria database: Ho5Si2As after structural relaxation (PBE).

## Properties
The symmetry is No. 140. The calculation puts the total energy at -88.9 eV for the cell shown. The calculation puts the calculated volume at 379.5 Å³/cell.

Cell: 8.5319 8.5319 8.5319 Å, 127.47 127.47 77.49°
With the nearest neighbours (Å) after each atom.
Positions (direct):
Ho  0.0000  0.0000  0.0000  4 Si 2.95
Ho  0.0192  0.5192  0.8279  3 Si 2.91-2.96, 2 As 3.15
Ho  0.1912  0.0192  0.5000  3 Si 2.91-2.96, 2 As 3.15
Ho  0.3088  0.8088  0.8279  3 Si 2.91-2.96, 2 As 3.15
Ho  0.4808  0.3088  0.5000  3 Si 2.91-2.96, 2 As 3.15
Ho  0.5000  0.5000  0.0000  4 Si 2.95
Ho  0.5192  0.6912  0.5000  3 Si 2.91-2.96, 2 As 3.15
Ho  0.6912  0.1912  0.1721  3 Si 2.91-2.96, 2 As 3.15
Ho  0.8088  0.9808  0.5000  3 Si 2.91-2.96, 2 As 3.15
Ho  0.9808  0.4808  0.1721  3 Si 2.91-2.96, 2 As 3.15
Si  0.1325  0.3675  0.5000  1 Si 2.83, 8 Ho 2.91-2.96
Si  0.3675  0.8675  0.2351  1 Si 2.83, 8 Ho 2.91-2.96
Si  0.6325  0.1325  0.7649  1 Si 2.83, 8 Ho 2.91-2.96
Si  0.8675  0.6325  0.5000  1 Si 2.83, 8 Ho 2.91-2.96
As  0.2500  0.2500  0.0000  10 Ho 3.15-3.33
As  0.7500  0.7500  0.0000  10 Ho 3.15-3.33

---

4.
Entry from the Alexandria database: Ho4SiAs3 after structural relaxation (PBE).

## Properties
The symmetry is No. 221. The calculation puts the total energy at -47.7 eV for the cell shown. The calculation puts the calculated volume at 194.7 Å³/cell.

Cell: 5.7959 5.7959 5.7959 Å, 90.00 90.00 90.00°
With the nearest neighbours (Å) after each atom.
Positions (direct):
Ho  0.0000  0.0000  0.0000  6 As 2.90
Ho  0.0000  0.5000  0.5000  2 Si 2.90, 4 As 2.90
Ho  0.5000  0.0000  0.5000  2 Si 2.90, 4 As 2.90
Ho  0.5000  0.5000  0.0000  2 Si 2.90, 4 As 2.90
Si  0.5000  0.5000  0.5000  6 Ho 2.90
As  0.0000  0.0000  0.5000  6 Ho 2.90
As  0.0000  0.5000  0.0000  6 Ho 2.90
As  0.5000  0.0000  0.0000  6 Ho 2.90

---

5.
Entry from the Alexandria database: Ho2SiAs after structural relaxation (PBE).

## Properties
The symmetry is No. 166. The energy above the most stable polymorph in this dataset comes out at 0.152 eV/atom. The calculation puts the calculated volume at 96.9 Å³/cell.

Cell: 7.3943 7.3943 7.3943 Å, 31.30 31.30 31.30°
With the nearest neighbours (Å) after each atom.
Positions (direct):
Ho  0.2477  0.2477  0.2477  3 As 2.87, 3 Si 2.93
Ho  0.7523  0.7523  0.7523  3 As 2.87, 3 Si 2.93
Si  0.0000  0.0000  0.0000  6 Ho 2.93
As  0.5000  0.5000  0.5000  6 Ho 2.87

---

6.
Entry from the Alexandria database: Ho6Si2Te3As after structural relaxation (PBE).

## Properties
The symmetry is No. 12. The calculation puts the total energy at -67.2 eV for the cell shown. The calculation puts the calculated volume at 322.3 Å³/cell.

Cell: 9.5162 9.5162 8.5518 Å, 104.27 104.27 25.48°
With the nearest neighbours (Å) after each atom.
Positions (direct):
Ho  0.0092  0.0092  0.2361  1 Si 2.83, 2 As 2.89, 3 Te 3.12-3.14
Ho  0.3262  0.3262  0.4347  3 Si 2.87, 3 Te 3.13-3.15
Ho  0.3383  0.3383  0.8955  2 Si 2.85, 1 As 2.91, 3 Te 3.13-3.14
Ho  0.6617  0.6617  0.1045  2 Si 2.85, 1 As 2.91, 3 Te 3.13-3.14
Ho  0.6738  0.6738  0.5653  3 Si 2.87, 3 Te 3.13-3.15
Ho  0.9908  0.9908  0.7639  1 Si 2.83, 2 As 2.89, 3 Te 3.12-3.14
Si  0.1666  0.1666  0.3328  6 Ho 2.83-2.87
Si  0.8334  0.8334  0.6672  6 Ho 2.83-2.87
Te  0.1650  0.1650  0.8340  6 Ho 3.13-3.15
Te  0.5000  0.5000  0.5000  6 Ho 3.12-3.13
Te  0.8350  0.8350  0.1660  6 Ho 3.13-3.15
As  0.5000  0.5000  0.0000  6 Ho 2.89-2.91

---

7.
Entry from the Alexandria database: Ho4SiTe2As after structural relaxation (PBE).

## Properties
The symmetry is No. 10. The calculation puts the total energy at -45.1 eV for the cell shown. The calculation puts the calculated volume at 214.4 Å³/cell.

Cell: 7.2731 4.1946 7.4315 Å, 90.00 108.97 90.00°
With the nearest neighbours (Å) after each atom.
Positions (direct):
Ho  0.2352  0.0000  0.2184  2 Si 2.86, 1 As 2.89, 3 Te 3.10-3.14
Ho  0.2560  0.5000  0.7819  1 Si 2.84, 2 As 2.88, 3 Te 3.12-3.16
Ho  0.7440  0.5000  0.2181  1 Si 2.84, 2 As 2.88, 3 Te 3.12-3.16
Ho  0.7648  0.0000  0.7816  2 Si 2.86, 1 As 2.89, 3 Te 3.10-3.14
Si  0.0000  0.5000  0.0000  6 Ho 2.84-2.86
Te  0.0000  0.0000  0.5000  6 Ho 3.10-3.12
Te  0.5000  0.5000  0.5000  6 Ho 3.14-3.16
As  0.5000  0.0000  0.0000  6 Ho 2.88-2.89

---

8.
Entry from the Alexandria database: Sm2HoAs after structural relaxation (PBE).

## Properties
The symmetry is No. 166. The formation energy from the elements is -0.560 eV per atom. The calculation puts the calculated volume at 127.2 Å³/cell.

Cell: 9.7744 9.7744 9.7744 Å, 23.20 23.20 23.20°
With the nearest neighbours (Å) after each atom.
Positions (direct):
Sm  0.2290  0.2290  0.2290  3 As 2.88
Sm  0.7710  0.7710  0.7710  3 As 2.88
Ho  0.0000  0.0000  0.0000  6 Sm 3.74, 6 Ho 3.93
As  0.5000  0.5000  0.5000  6 Sm 2.88

---

9.
Entry from the Alexandria database: Sm3HoAs4 after structural relaxation (PBE).

## Properties
The symmetry is No. 221. The formation energy from the elements is -1.525 eV per atom. The calculation puts the calculated volume at 207.4 Å³/cell.

Cell: 5.9190 5.9190 5.9190 Å, 90.00 90.00 90.00°
With the nearest neighbours (Å) after each atom.
Positions (direct):
Sm  0.0000  0.0000  0.5000  6 As 2.96
Sm  0.0000  0.5000  0.0000  6 As 2.96
Sm  0.5000  0.0000  0.0000  6 As 2.96
Ho  0.5000  0.5000  0.5000  6 As 2.96
As  0.0000  0.0000  0.0000  6 Sm 2.96
As  0.0000  0.5000  0.5000  2 Ho 2.96, 4 Sm 2.96
As  0.5000  0.0000  0.5000  2 Ho 2.96, 4 Sm 2.96
As  0.5000  0.5000  0.0000  2 Ho 2.96, 4 Sm 2.96

---

10.
Entry from the Alexandria database: SmHoAs2 after structural relaxation (PBE).

## Properties
The symmetry is No. 166. The formation energy from the elements is -1.526 eV per atom. The energy above the most stable polymorph in this dataset comes out at 0.000 eV/atom. The calculation puts the calculated volume at 101.7 Å³/cell.

Cell: 7.1966 7.1966 7.1966 Å, 33.60 33.60 33.60°
With the nearest neighbours (Å) after each atom.
Positions (direct):
Sm  0.0000  0.0000  0.0000  6 As 2.97
Ho  0.5000  0.5000  0.5000  6 As 2.91
As  0.2475  0.2475  0.2475  3 Ho 2.91, 3 Sm 2.97
As  0.7525  0.7525  0.7525  3 Ho 2.91, 3 Sm 2.97

---

11.
Entry from the Alexandria database: SmHo2As3 after structural relaxation (PBE).

## Properties
The symmetry is No. 71. The formation energy from the elements is -1.524 eV per atom. The calculation puts the calculated volume at 150.5 Å³/cell.

Cell: 7.1682 7.1682 7.1682 Å, 146.42 131.79 60.03°
With the nearest neighbours (Å) after each atom.
Positions (direct):
Sm  0.0000  0.0000  0.0000  6 As 2.93-2.96
Ho  0.3339  0.3339  0.0000  6 As 2.90-2.93
Ho  0.6661  0.6661  0.0000  6 As 2.90-2.93
As  0.1704  0.6704  0.5000  4 Ho 2.90-2.93, 2 Sm 2.96
As  0.5000  0.0000  0.5000  4 Ho 2.92, 2 Sm 2.93
As  0.8296  0.3296  0.5000  4 Ho 2.90-2.93, 2 Sm 2.96

---

12.
Entry from the Alexandria database: SmHoAs2 after structural relaxation (PBE).

## Properties
The symmetry is No. 141. The formation energy from the elements is -1.523 eV per atom. The energy above the most stable polymorph in this dataset comes out at 0.002 eV/atom. The calculation puts the calculated volume at 203.3 Å³/cell.

Cell: 7.2014 7.2014 7.2014 Å, 131.81 131.81 70.53°
With the nearest neighbours (Å) after each atom.
Positions (direct):
Sm  0.3750  0.6250  0.7500  6 As 2.94-2.97
Sm  0.6250  0.3750  0.2500  6 As 2.94-2.97
Ho  0.1250  0.8750  0.2500  6 As 2.91-2.94
Ho  0.8750  0.1250  0.7500  6 As 2.91-2.94
As  0.1222  0.3722  0.7500  3 Ho 2.91-2.94, 3 Sm 2.94-2.97
As  0.3722  0.1222  0.2500  3 Ho 2.91-2.94, 3 Sm 2.94-2.97
As  0.6278  0.8778  0.7500  3 Ho 2.91-2.94, 3 Sm 2.94-2.97
As  0.8778  0.6278  0.2500  3 Ho 2.91-2.94, 3 Sm 2.94-2.97

---

no.,magnetization (μB/cell)
1,0.0
2,0.0
3,2.9
4,0.0
5,0.0
6,0.0
7,0.0
8,0.9
9,0.0
10,0.0
11,0.0
12,0.0